Entry from Alexandria via LeMat-Bulk: a geometry-optimized SrAg3Ge structure (PBE).

Calculated values
The relative energy among the computed polymorphs comes out at 0.000 eV per atom. The calculation puts the energy of formation from the pure elements at -220 meV/atom.

Unit cell a=6.6689 b=6.6741 c=6.1988 alpha=90.00 beta=122.49 gamma=90.00
Space group Cm (No. 8)
One atom of each set of equivalent atoms:
Sr: 0.0000 0.0000 0.0000 [2 per cell]
Ag: 0.0087 0.2502 0.5182 [4 per cell]
Ag: 0.1101 0.5000 0.2204 [2 per cell]
Ge: 0.3640 0.0000 0.7294 [2 per cell]